This record from Alexandria describes a relaxed structure of YTaAg2. The functional is PBE-GGA.

abc: 7.8700 7.8700 6.2611
angles: 51.06 51.06 90.00
Element x y z (fractional)
1 Ta 0.7500 0.2500 0.5000
2 Ag 0.0951 0.6250 0.2500
3 Y 0.5000 0.5000 0.0000
4 Ta 0.0000 0.0000 0.0000
5 Ag 0.6549 0.1250 0.2500
6 Ag 0.3750 0.3451 0.7500
7 Y 0.2500 0.7500 0.5000
8 Ag 0.8750 0.9049 0.7500

Results
- electronic total energy (Ry per atom) = -0.3980
- energy above the lowest structure with this stoichiometry (meV per atom) = 440.3
- energy relative to the elements (meV per atom) = 589

***

This record from Alexandria describes a relaxed structure of YTaAg2. The functional is PBE-GGA.

abc: 5.4922 5.4922 5.4922
angles: 134.93 134.93 65.65
Element x y z (fractional)
1 Ag 0.0000 0.0000 0.0000
2 Ta 0.5000 0.5000 0.0000
3 Ag 0.2500 0.7500 0.5000
4 Y 0.7500 0.2500 0.5000

Results
- electronic total energy (Ry per atom) = -0.4141
- energy above the lowest structure with this stoichiometry (meV per atom) = 222.2
- energy relative to the elements (meV per atom) = 371

***

This record from Alexandria describes a relaxed structure of YTaAg2. The functional is PBE-GGA.

abc: 4.8953 4.8953 4.8953
angles: 60.00 60.00 60.00
Element x y z (fractional)
1 Ta 0.5000 0.5000 0.5000
2 Y 0.7500 0.7500 0.7500
3 Ag 0.0000 0.0000 0.0000
4 Ag 0.2500 0.2500 0.2500

Results
- electronic total energy (Ry per atom) = -0.4047
- energy above the lowest structure with this stoichiometry (meV per atom) = 349.3
- energy relative to the elements (meV per atom) = 498

***

This record from Alexandria describes a relaxed structure of Y2TaAg. The functional is PBE-GGA.

abc: 10.2936 10.2936 10.2936
angles: 18.50 18.50 18.50
Element x y z (fractional)
1 Y 0.4996 0.4996 0.4996
2 Ta 0.7500 0.7500 0.7500
3 Ag 0.2500 0.2500 0.2500
4 Y 0.0004 0.0004 0.0004

Results
- electronic total energy (Ry per atom) = -0.4893
- energy above the lowest structure with this stoichiometry (meV per atom) = 173.6
- energy relative to the elements (meV per atom) = 251